Compound: KSr3
Source: the Alexandria database
Functional: PBE-GGA
Structure: optimized geometry

Cell: 7.570 7.570 4.273 Å, 90.00 90.00 109.88°
Element x y z (fractional)
Sr1 0.500 0.500 0.000
Sr2 0.000 0.500 0.500
Sr3 0.500 0.000 0.500
K1 0.000 0.000 0.000

Calculated values
- Volume: 230.2 Å³/f.u.
- Spin magnetization: 0.000 μB per formula unit
- Offset from the most stable computed form: 34 meV per atom
- Energy of formation from the pure elements: 7.65 kJ/mol of atoms
- Raw total energy: -1.456 eV/atom